No. 1
VASP calculation (PBE-GGA) on YZnO after structural relaxation.

Properties
- DFT total energy: -6.132 eV/atom
- Magnetization: 0.00 μB per cell
- Formation energy without anion corrections: -1.900 eV per atom
- SG: P4/nmm (129)
- N(E_F): 0.409 states/eV per atom

a b c (Å): 3.283 3.283 8.865
angles (deg): 90.00 90.00 90.00
Positions (direct):
Y (0.250, 0.250, 0.162)
Y (0.750, 0.750, 0.838)
Zn (0.250, 0.250, 0.563)
Zn (0.750, 0.750, 0.437)
O (0.250, 0.250, 0.899)
O (0.750, 0.750, 0.101)


No. 2
VASP calculation (PBE-GGA) on Cr2ReC2 after structural relaxation.

Properties
- DFT total energy: -8.889 eV/atom
- Magnetization: 0.00 μB per cell
- SG: P4/mbm (127)
- Formation energy from the elements: 1139 meV per atom
- Energy above the lowest structure with this stoichiometry: 283.6 meV per atom
- N(E_F): 0.588 states/eV per atom

a b c (Å): 6.142 6.142 2.624
angles (deg): 90.00 90.00 90.00
Positions (direct):
Cr (0.134, 0.366, 0.000)
Cr (0.366, 0.866, 0.000)
Cr (0.634, 0.134, 0.000)
Cr (0.866, 0.634, 0.000)
Re (0.000, 0.000, 0.000)
Re (0.500, 0.500, 0.000)
C (0.164, 0.664, 0.500)
C (0.336, 0.164, 0.500)
C (0.664, 0.836, 0.500)
C (0.836, 0.336, 0.500)


No. 3
VASP calculation (PBE-GGA) on YThZnNi after structural relaxation.

Properties
- DFT total energy: -5.478 eV/atom
- Magnetization: 0.00 μB per cell
- SG: F-43m (216)
- Formation energy from the elements: -243 meV per atom
- N(E_F): 0.846 states/eV per atom

a b c (Å): 5.016 5.016 5.016
angles (deg): 60.00 60.00 60.00
Positions (direct):
Y (0.000, 0.000, 0.000)
Th (0.500, 0.500, 0.500)
Zn (0.250, 0.250, 0.250)
Ni (0.750, 0.750, 0.750)


No. 4
VASP calculation (PBE-GGA) on CaGd3O after structural relaxation.

Properties
- DFT total energy: -10.844 eV/atom
- Magnetization: 22.56 μB per cell
- Formation energy without anion corrections: -1.004 eV per atom
- SG: Pm-3m (221)
- N(E_F): 1.291 states/eV per atom

a b c (Å): 5.048 5.048 5.048
angles (deg): 90.00 90.00 90.00
Positions (direct):
Ca (0.000, 0.000, 0.000)
Gd (0.000, 0.500, 0.500)
Gd (0.500, 0.000, 0.500)
Gd (0.500, 0.500, 0.000)
O (0.500, 0.500, 0.500)


No. 5
VASP calculation (PBE-GGA) on CeGaN after structural relaxation.

Properties
- DFT total energy: -6.281 eV/atom
- Magnetization: 0.38 μB per cell
- Formation energy without anion corrections: -0.519 eV per atom
- SG: P3m1 (156)
- N(E_F): 1.405 states/eV per atom

a b c (Å): 3.796 3.796 5.122
angles (deg): 90.00 90.00 120.00
Positions (direct):
Ce (0.000, 0.000, 0.000)
Ga (0.667, 0.333, 0.494)
N (0.333, 0.667, 0.920)


No. 6
VASP calculation (PBE-GGA) on PmZnAgAu after structural relaxation.

Properties
- DFT total energy: -3.466 eV/atom
- Magnetization: 0.00 μB per cell
- SG: R3m (160)
- Formation energy from the elements: -428 meV per atom
- Energy above the lowest structure with this stoichiometry: 0.0 meV per atom
- N(E_F): 0.646 states/eV per atom

a b c (Å): 5.324 5.324 5.324
angles (deg): 51.75 51.75 51.75
Positions (direct):
Pm (0.000, 0.000, 0.000)
Zn (0.489, 0.489, 0.489)
Ag (0.221, 0.221, 0.221)
Au (0.778, 0.778, 0.778)


No. 7
VASP calculation (PBE-GGA) on La5Tb4Pr4 after structural relaxation.

Properties
- DFT total energy: -4.768 eV/atom
- Magnetization: 0.00 μB per cell
- SG: I4/m (87)
- Formation energy from the elements: 22 meV per atom
- N(E_F): 1.770 states/eV per atom

a b c (Å): 9.753 9.753 9.753
angles (deg): 94.06 94.06 149.12
Positions (direct):
La (0.000, 0.000, 0.000)
La (0.309, 0.459, 0.768)
La (0.459, 0.691, 0.150)
La (0.541, 0.309, 0.850)
La (0.691, 0.541, 0.232)
Tb (0.155, 0.233, 0.388)
Tb (0.233, 0.845, 0.078)
Tb (0.767, 0.155, 0.922)
Tb (0.845, 0.767, 0.612)
Pr (0.078, 0.616, 0.694)
Pr (0.384, 0.078, 0.461)
Pr (0.616, 0.922, 0.539)
Pr (0.922, 0.384, 0.306)


No. 8
VASP calculation (PBE-GGA) on Ce3IrSe after structural relaxation.

Properties
- DFT total energy: -6.870 eV/atom
- Magnetization: 11.95 μB per cell
- Formation energy without anion corrections: -0.840 eV per atom
- SG: C2/c (15)
- N(E_F): 3.326 states/eV per atom

a b c (Å): 9.428 9.428 6.920
angles (deg): 97.44 97.44 74.92
Positions (direct):
Ce (0.014, 0.200, 0.449)
Ce (0.148, 0.637, 0.040)
Ce (0.200, 0.014, 0.949)
Ce (0.335, 0.448, 0.517)
Ce (0.363, 0.852, 0.460)
Ce (0.448, 0.335, 0.017)
Ce (0.552, 0.665, 0.983)
Ce (0.637, 0.148, 0.540)
Ce (0.665, 0.552, 0.483)
Ce (0.800, 0.986, 0.051)
Ce (0.852, 0.363, 0.960)
Ce (0.986, 0.800, 0.551)
Ir (0.086, 0.914, 0.250)
Ir (0.282, 0.718, 0.750)
Ir (0.718, 0.282, 0.250)
Ir (0.914, 0.086, 0.750)
Se (0.157, 0.336, 0.162)
Se (0.336, 0.157, 0.662)
Se (0.664, 0.843, 0.338)
Se (0.843, 0.664, 0.838)


No. 9
VASP calculation (PBE-GGA) on CaAcLaCo after structural relaxation.

Properties
- DFT total energy: -4.572 eV/atom
- Magnetization: 0.00 μB per cell
- SG: Cm (8)
- Formation energy from the elements: -36 meV per atom
- N(E_F): 1.023 states/eV per atom

a b c (Å): 4.105 4.105 10.109
angles (deg): 101.77 101.77 59.89
Positions (direct):
Ca (0.000, 0.000, 0.000)
Ac (0.215, 0.215, 0.654)
La (0.446, 0.446, 0.343)
Co (0.827, 0.827, 0.489)


No. 10
VASP calculation (PBE-GGA) on ReNi2As after structural relaxation.

Properties
- DFT total energy: -6.654 eV/atom
- Magnetization: 2.21 μB per cell
- SG: I-42d (122)
- Formation energy from the elements: 511 meV per atom
- N(E_F): 1.180 states/eV per atom

a b c (Å): 9.035 9.035 9.035
angles (deg): 156.90 156.90 32.90
Positions (direct):
Re (0.000, 0.000, 0.000)
Re (0.750, 0.250, 0.500)
Ni (0.129, 0.625, 0.004)
Ni (0.375, 0.379, 0.504)
Ni (0.621, 0.125, 0.996)
Ni (0.875, 0.871, 0.496)
As (0.250, 0.750, 0.500)
As (0.500, 0.500, 0.000)


No. 11
VASP calculation (PBE-GGA) on IrCS2 after structural relaxation.

Properties
- DFT total energy: -5.626 eV/atom
- Magnetization: 0.00 μB per cell
- Formation energy without anion corrections: 0.959 eV per atom
- SG: I-42d (122)
- N(E_F): 0.527 states/eV per atom

a b c (Å): 5.801 5.801 5.801
angles (deg): 128.26 128.26 76.20
Positions (direct):
Ir (0.000, 0.000, 0.000)
Ir (0.750, 0.250, 0.500)
C (0.250, 0.750, 0.500)
C (0.500, 0.500, 0.000)
S (0.175, 0.625, 0.050)
S (0.375, 0.425, 0.550)
S (0.575, 0.125, 0.950)
S (0.875, 0.825, 0.450)


No. 12
VASP calculation (PBE-GGA) on LiZr2W after structural relaxation.

Properties
- DFT total energy: -7.593 eV/atom
- Magnetization: 0.00 μB per cell
- SG: P4mm (99)
- Formation energy from the elements: 398 meV per atom
- N(E_F): 1.054 states/eV per atom

a b c (Å): 3.469 3.469 6.218
angles (deg): 90.00 90.00 90.00
Positions (direct):
Li (0.000, 0.000, 0.000)
Zr (0.000, 0.000, 0.449)
Zr (0.500, 0.500, 0.744)
W (0.500, 0.500, 0.224)


No. 13
VASP calculation (PBE-GGA) on Tb2SbBr2 after structural relaxation.

Properties
- DFT total energy: -4.823 eV/atom
- Magnetization: 0.00 μB per cell
- Formation energy without anion corrections: -1.478 eV per atom
- SG: R-3m (166)
- N(E_F): 0.370 states/eV per atom

a b c (Å): 11.058 11.058 11.058
angles (deg): 22.17 22.17 22.17
Positions (direct):
Tb (0.113, 0.113, 0.113)
Tb (0.887, 0.887, 0.887)
Sb (0.500, 0.500, 0.500)
Br (0.274, 0.274, 0.274)
Br (0.726, 0.726, 0.726)


No. 14
VASP calculation (PBE-GGA) on ZrSiAg2 after structural relaxation.

Properties
- DFT total energy: -5.107 eV/atom
- Magnetization: 0.00 μB per cell
- Formation energy without anion corrections: -0.189 eV per atom
- SG: Amm2 (38)
- N(E_F): 0.330 states/eV per atom

a b c (Å): 4.089 5.994 5.994
angles (deg): 29.58 90.00 90.00
Positions (direct):
Zr (0.000, 0.000, 0.000)
Si (0.500, 0.404, 0.404)
Ag (0.000, 0.264, 0.264)
Ag (0.500, 0.651, 0.651)


No. 15
VASP calculation (PBE-GGA) on NbSbF3 after structural relaxation.

Properties
- DFT total energy: -5.337 eV/atom
- Magnetization: 2.79 μB per cell
- Formation energy without anion corrections: -1.375 eV per atom
- SG: Pm-3m (221)
- Energy above the lowest structure with this stoichiometry: 0.0 meV per atom
- N(E_F): 0.492 states/eV per atom

a b c (Å): 4.356 4.356 4.356
angles (deg): 90.00 90.00 90.00
Positions (direct):
Nb (0.000, 0.000, 0.000)
Sb (0.500, 0.500, 0.500)
F (0.000, 0.000, 0.500)
F (0.000, 0.500, 0.000)
F (0.500, 0.000, 0.000)


No. 16
VASP calculation (PBE-GGA) on InGa2Os after structural relaxation.

Properties
- DFT total energy: -4.876 eV/atom
- Magnetization: 0.00 μB per cell
- SG: R-3m (166)
- Formation energy from the elements: 130 meV per atom
- N(E_F): 0.920 states/eV per atom

a b c (Å): 9.528 9.528 9.528
angles (deg): 18.31 18.31 18.31
Positions (direct):
In (0.000, 0.000, 0.000)
Ga (0.099, 0.099, 0.099)
Ga (0.901, 0.901, 0.901)
Os (0.500, 0.500, 0.500)


No. 17
VASP calculation (PBE-GGA) on Zr4IrRh5 after structural relaxation.

Properties
- DFT total energy: -8.781 eV/atom
- Magnetization: 0.00 μB per cell
- SG: C2/m (12)
- Formation energy from the elements: -800 meV per atom
- N(E_F): 0.447 states/eV per atom

a b c (Å): 7.774 7.774 5.665
angles (deg): 109.98 109.98 32.33
Positions (direct):
Zr (0.081, 0.081, 0.340)
Zr (0.304, 0.304, 0.876)
Zr (0.696, 0.696, 0.124)
Zr (0.919, 0.919, 0.660)
Ir (0.500, 0.500, 0.000)
Rh (0.114, 0.114, 0.849)
Rh (0.295, 0.295, 0.382)
Rh (0.500, 0.500, 0.500)
Rh (0.705, 0.705, 0.618)
Rh (0.886, 0.886, 0.151)


No. 18
VASP calculation (PBE-GGA) on Pu3Al3Ga8 after structural relaxation.

Properties
- DFT total energy: -5.529 eV/atom
- Magnetization: 6.08 μB per cell
- SG: Immm (71)
- Formation energy from the elements: 73 meV per atom
- N(E_F): 1.199 states/eV per atom

a b c (Å): 8.156 8.156 8.156
angles (deg): 143.66 126.31 66.57
Positions (direct):
Pu (0.000, 0.000, 0.000)
Pu (0.329, 0.000, 0.329)
Pu (0.671, 0.000, 0.671)
Al (0.303, 0.803, 0.500)
Al (0.500, 0.500, 0.000)
Al (0.697, 0.197, 0.500)
Ga (0.040, 0.206, 0.834)
Ga (0.077, 0.394, 0.683)
Ga (0.288, 0.606, 0.683)
Ga (0.371, 0.206, 0.166)
Ga (0.629, 0.794, 0.834)
Ga (0.712, 0.394, 0.317)
Ga (0.923, 0.606, 0.317)
Ga (0.960, 0.794, 0.166)


No. 19
VASP calculation (PBE-GGA) on ErAg2F5 after structural relaxation.

Properties
- DFT total energy: -5.005 eV/atom
- Magnetization: 0.00 μB per cell
- Formation energy without anion corrections: -2.552 eV per atom
- SG: Pnma (62)
- N(E_F): 0.000 states/eV per atom

a b c (Å): 10.407 7.067 6.376
angles (deg): 90.00 90.00 90.00
Positions (direct):
Er (0.006, 0.250, 0.072)
Er (0.494, 0.750, 0.572)
Er (0.506, 0.250, 0.428)
Er (0.994, 0.750, 0.928)
Ag (0.172, 0.002, 0.533)
Ag (0.172, 0.498, 0.533)
Ag (0.328, 0.502, 0.033)
Ag (0.328, 0.998, 0.033)
Ag (0.672, 0.002, 0.967)
Ag (0.672, 0.498, 0.967)
Ag (0.828, 0.502, 0.467)
Ag (0.828, 0.998, 0.467)
F (0.016, 0.250, 0.418)
F (0.080, 0.539, 0.149)
F (0.080, 0.961, 0.149)
F (0.173, 0.250, 0.866)
F (0.198, 0.750, 0.821)
F (0.302, 0.250, 0.321)
F (0.327, 0.750, 0.366)
F (0.420, 0.039, 0.649)
F (0.420, 0.461, 0.649)
F (0.484, 0.750, 0.918)
F (0.516, 0.250, 0.082)
F (0.580, 0.539, 0.351)
F (0.580, 0.961, 0.351)
F (0.673, 0.250, 0.634)
F (0.698, 0.750, 0.679)
F (0.802, 0.250, 0.179)
F (0.827, 0.750, 0.134)
F (0.920, 0.039, 0.851)
F (0.920, 0.461, 0.851)
F (0.984, 0.750, 0.582)


No. 20
VASP calculation (PBE-GGA) on Ce4Se5O after structural relaxation.

Properties
- DFT total energy: -6.494 eV/atom
- Magnetization: 3.95 μB per cell
- Formation energy without anion corrections: -1.882 eV per atom
- SG: C2/m (12)
- N(E_F): 2.383 states/eV per atom

a b c (Å): 10.155 10.155 7.559
angles (deg): 111.79 111.79 22.39
Positions (direct):
Ce (0.000, 0.000, 0.211)
Ce (0.000, 0.000, 0.789)
Ce (0.283, 0.283, 0.783)
Ce (0.717, 0.717, 0.217)
Se (0.160, 0.160, 0.412)
Se (0.161, 0.161, 0.909)
Se (0.500, 0.500, 0.500)
Se (0.839, 0.839, 0.091)
Se (0.840, 0.840, 0.588)
O (0.500, 0.500, 0.000)


No. 21
VASP calculation (PBE-GGA) on RbZnInO3 after structural relaxation.

Properties
- DFT total energy: -4.726 eV/atom
- Magnetization: 0.00 μB per cell
- Formation energy without anion corrections: -1.417 eV per atom
- SG: P2_1/m (11)

a b c (Å): 6.692 3.323 9.927
angles (deg): 90.00 108.73 90.00
Positions (direct):
Rb (0.208, 0.250, 0.200)
Rb (0.792, 0.750, 0.800)
Zn (0.384, 0.250, 0.896)
Zn (0.616, 0.750, 0.104)
In (0.181, 0.750, 0.615)
In (0.819, 0.250, 0.385)
O (0.047, 0.750, 0.387)
O (0.291, 0.750, 0.963)
O (0.397, 0.250, 0.697)
O (0.603, 0.750, 0.303)
O (0.709, 0.250, 0.037)
O (0.953, 0.250, 0.613)


No. 22
VASP calculation (PBE-GGA) on CrRe2As after structural relaxation.

Properties
- DFT total energy: -9.494 eV/atom
- Magnetization: 0.00 μB per cell
- SG: R-3m (166)
- Formation energy from the elements: 298 meV per atom
- N(E_F): 0.706 states/eV per atom

a b c (Å): 8.543 8.543 8.543
angles (deg): 19.04 19.04 19.04
Positions (direct):
Cr (0.000, 0.000, 0.000)
Re (0.253, 0.253, 0.253)
Re (0.747, 0.747, 0.747)
As (0.500, 0.500, 0.500)


No. 23
VASP calculation (PBE-GGA) on Ac2Cd5Rh5 after structural relaxation.

Properties
- DFT total energy: -4.406 eV/atom
- Magnetization: 0.00 μB per cell
- SG: Pmmm (47)
- Formation energy from the elements: -277 meV per atom
- N(E_F): 0.873 states/eV per atom

a b c (Å): 4.393 5.864 9.923
angles (deg): 90.00 90.00 90.00
Positions (direct):
Ac (0.000, 0.000, 0.000)
Ac (0.000, 0.500, 0.500)
Cd (0.000, 0.000, 0.322)
Cd (0.000, 0.000, 0.678)
Cd (0.000, 0.500, 0.166)
Cd (0.000, 0.500, 0.834)
Cd (0.500, 0.000, 0.500)
Rh (0.500, 0.255, 0.248)
Rh (0.500, 0.255, 0.752)
Rh (0.500, 0.500, 0.000)
Rh (0.500, 0.745, 0.248)
Rh (0.500, 0.745, 0.752)